# Cr2RhBr (PBE-GGA, optimized geometry)
data_Cr2RhBr
_cell_length_a 3.117
_cell_length_b 4.164
_cell_length_c 11.888
_cell_angle_alpha 90.00
_cell_angle_beta 90.00
_cell_angle_gamma 90.00
_symmetry_space_group_name_H-M 'I m m 2'
_symmetry_Int_Tables_number 44
loop_
_symmetry_equiv_pos_as_xyz
'x,y,z'
'-x,-y,z'
'-x,y,z'
'x,-y,z'
'x+1/2,y+1/2,z+1/2'
'-x+1/2,-y+1/2,z+1/2'
'-x+1/2,y+1/2,z+1/2'
'x+1/2,-y+1/2,z+1/2'
loop_
_atom_site_label
_atom_site_type_symbol
_atom_site_fract_x
_atom_site_fract_y
_atom_site_fract_z
Cr1 Cr 0.000 0.000 0.000
Cr2 Cr 0.000 0.500 0.155
Rh1 Rh 0.000 0.500 0.675
Br1 Br 0.000 0.000 0.387
# - energy (eV per atom) = -6.500
# - DOS at the Fermi energy (states/eV per cell) = 9.0
# - magnetization (μB/f.u.) = 7.81
# - density (g/cm3) = 6.2
# - uncorrected formation energy (eV per atom) = 0.57

=====

# LiRe2Mo (PBE-GGA, optimized geometry)
data_LiRe2Mo
_cell_length_a 6.124
_cell_length_b 6.124
_cell_length_c 6.124
_cell_angle_alpha 90.00
_cell_angle_beta 90.00
_cell_angle_gamma 90.00
_symmetry_space_group_name_H-M 'F m -3 m'
_symmetry_Int_Tables_number 225
_symmetry_space_group_name_Hall '-F 4 2 3'
loop_
_atom_site_label
_atom_site_type_symbol
_atom_site_fract_x
_atom_site_fract_y
_atom_site_fract_z
Li1 Li 0.000 0.000 0.000
Re1 Re 0.250 0.250 0.250
Mo1 Mo 0.000 0.000 0.500
# - energy relative to the elements (meV/atom) = 302
# - energy (eV per atom) = -9.108
# - DOS at the Fermi energy (states/eV per cell) = 15.5
# - magnetization (μB/f.u.) = 0.00
# - density (g/cm3) = 13.7

=====

# Pt2PbF8 (PBE-GGA, optimized geometry)
data_Pt2PbF8
_cell_length_a 4.122
_cell_length_b 6.508
_cell_length_c 7.310
_cell_angle_alpha 65.82
_cell_angle_beta 89.63
_cell_angle_gamma 72.15
_symmetry_space_group_name_H-M 'P -1'
_symmetry_Int_Tables_number 2
loop_
_symmetry_equiv_pos_as_xyz
'x,y,z'
'-x,-y,-z'
loop_
_atom_site_label
_atom_site_type_symbol
_atom_site_fract_x
_atom_site_fract_y
_atom_site_fract_z
Pt1 Pt 0.110 0.279 0.125
Pb1 Pb 0.500 0.500 0.500
F1 F 0.066 0.369 0.359
F2 F 0.159 0.188 0.905
F3 F 0.287 0.923 0.340
F4 F 0.389 0.722 0.841
# - energy (eV per atom) = -4.240
# - DOS at the Fermi energy (states/eV per cell) = 5.3
# - magnetization (μB/f.u.) = 0.71
# - density (g/cm3) = 7.4
# - uncorrected formation energy (eV per atom) = -1.44

=====

# TaRu2O2 (PBE-GGA, optimized geometry)
data_TaRu2O2
_cell_length_a 5.471
_cell_length_b 5.471
_cell_length_c 4.183
_cell_angle_alpha 90.00
_cell_angle_beta 90.00
_cell_angle_gamma 90.00
_symmetry_space_group_name_H-M 'P 4/m b m'
_symmetry_Int_Tables_number 127
_symmetry_space_group_name_Hall '-P 4 2ab'
loop_
_atom_site_label
_atom_site_type_symbol
_atom_site_fract_x
_atom_site_fract_y
_atom_site_fract_z
Ta1 Ta 0.000 0.000 0.000
Ru1 Ru 0.167 0.333 0.500
O1 O 0.177 0.323 0.000
# - energy (eV per atom) = -9.077
# - DOS at the Fermi energy (states/eV per cell) = 6.6
# - magnetization (μB/f.u.) = 0.00
# - density (g/cm3) = 11.0
# - uncorrected formation energy (eV per atom) = -1.01

=====

# PmDy5Cd4 (PBE-GGA, optimized geometry)
data_PmDy5Cd4
_cell_length_a 3.701
_cell_length_b 3.701
_cell_length_c 20.204
_cell_angle_alpha 90.00
_cell_angle_beta 90.00
_cell_angle_gamma 90.00
_symmetry_space_group_name_H-M 'P 4/m m m'
_symmetry_Int_Tables_number 123
_symmetry_space_group_name_Hall '-P 4 2'
loop_
_atom_site_label
_atom_site_type_symbol
_atom_site_fract_x
_atom_site_fract_y
_atom_site_fract_z
Pm1 Pm 0.000 0.000 0.000
Dy1 Dy 0.500 0.500 0.123
Dy2 Dy 0.500 0.500 0.312
Dy3 Dy 0.500 0.500 0.500
Cd1 Cd 0.000 0.000 0.217
Cd2 Cd 0.000 0.000 0.405
# - energy relative to the elements (meV/atom) = -242
# - energy (eV per atom) = -3.384
# - DOS at the Fermi energy (states/eV per cell) = 14.4
# - magnetization (μB/f.u.) = 0.00
# - density (g/cm3) = 8.4

=====

# Nb6ReRu5 (PBE-GGA, optimized geometry)
data_Nb6ReRu5
_cell_length_a 14.192
_cell_length_b 6.216
_cell_length_c 4.565
_cell_angle_alpha 90.00
_cell_angle_beta 105.40
_cell_angle_gamma 90.00
_symmetry_space_group_name_H-M 'C 1 2/m 1'
_symmetry_Int_Tables_number 12
loop_
_symmetry_equiv_pos_as_xyz
'x,y,z'
'-x,-y,-z'
'-x,y,-z'
'x,-y,z'
'x+1/2,y+1/2,z'
'-x+1/2,-y+1/2,-z'
'-x+1/2,y+1/2,-z'
'x+1/2,-y+1/2,z'
loop_
_atom_site_label
_atom_site_type_symbol
_atom_site_fract_x
_atom_site_fract_y
_atom_site_fract_z
Nb1 Nb 0.000 0.248 0.000
Nb2 Nb 0.162 0.249 0.677
Re1 Re 0.000 0.500 0.500
Ru1 Ru 0.000 0.000 0.500
Ru2 Ru 0.172 0.500 0.186
Ru3 Ru 0.175 0.000 0.200
# - energy relative to the elements (meV/atom) = -205
# - energy (eV per atom) = -10.142
# - DOS at the Fermi energy (states/eV per cell) = 21.9
# - magnetization (μB/f.u.) = 0.00
# - density (g/cm3) = 10.7

=====

# PaTe2Pd (PBE-GGA, optimized geometry)
data_PaTe2Pd
_cell_length_a 4.5130
_cell_length_b 4.5130
_cell_length_c 22.6846
_cell_angle_alpha 90.00
_cell_angle_beta 90.00
_cell_angle_gamma 120.00
_symmetry_space_group_name_H-M 'R 3 m'
_symmetry_Int_Tables_number 160
_symmetry_space_group_name_Hall 'R 3 -2"'
loop_
_atom_site_label
_atom_site_type_symbol
_atom_site_fract_x
_atom_site_fract_y
_atom_site_fract_z
Pa1 Pa 0.0000 0.0000 0.0000
Te1 Te 0.0000 0.0000 0.4167
Te2 Te 0.0000 0.0000 0.5933
Pd1 Pd 0.0000 0.0000 0.1172
# - energy (eV per atom) = -5.768
# - DOS at the Fermi energy (states/eV per cell) = 19.3
# - magnetization (μB/f.u.) = 1.01
# - density (g/cm3) = 7.4
# - uncorrected formation energy (eV per atom) = -0.52

=====

# Ag4Se (PBE-GGA, optimized geometry)
data_Ag4Se
_cell_length_a 5.054
_cell_length_b 5.054
_cell_length_c 5.054
_cell_angle_alpha 90.00
_cell_angle_beta 90.00
_cell_angle_gamma 90.00
_symmetry_space_group_name_H-M 'P m -3 m'
_symmetry_Int_Tables_number 221
_symmetry_space_group_name_Hall '-P 4 2 3'
loop_
_atom_site_label
_atom_site_type_symbol
_atom_site_fract_x
_atom_site_fract_y
_atom_site_fract_z
Ag1 Ag 0.000 0.000 0.000
Ag2 Ag 0.000 0.500 0.500
Se1 Se 0.500 0.500 0.500
# - energy (eV per atom) = -2.535
# - DOS at the Fermi energy (states/eV per cell) = 1.1
# - magnetization (μB/f.u.) = 0.00
# - density (g/cm3) = 6.6
# - uncorrected formation energy (eV per atom) = 0.44